## CrRe4Cl (PBE)

Data for a relaxed structure of CrRe4Cl.

Summary:
E_form (uncorrected) = 1.121 eV per atom
SG = F-43m

Cell lengths 5.229, 5.229, 5.229 Å; angles 60.00, 60.00, 60.00 degrees
Site moments in Bohr magnetons follow the coordinates.
Sites, in units of the cell vectors:
Re 0.625 0.625 0.125  -0.20
Re 0.125 0.625 0.625  -0.20
Re 0.625 0.125 0.625  -0.20
Cl 0.250 0.250 0.250  -0.03
Re 0.625 0.625 0.625  -0.20
Cr 0.000 0.000 0.000  2.89

=====

## CrReCl (PBE)

Data for a relaxed structure of CrReCl.

Summary:
E_form (uncorrected) = -0.025 eV per atom
SG = P1
E above lowest polymorph = 5.2 kJ per mole of atoms

Cell lengths 3.120, 3.120, 11.119 Å; angles 97.77, 97.89, 90.00 degrees
Site moments in Bohr magnetons follow the coordinates.
Sites, in units of the cell vectors:
Re 0.697 0.255 0.970  0.01
Cr 0.124 0.683 0.820  -1.50
Cl 0.012 0.573 0.591  0.07
Cl 0.360 0.915 0.304  -0.01
Re 0.259 0.816 0.097  -0.10
Cr 0.573 0.133 0.716  2.81

=====

## CrReCl4 (PBE)

Data for a relaxed structure of CrReCl4.

Summary:
E_form (uncorrected) = 1.424 eV per atom
SG = F-43m

Cell lengths 5.810, 5.810, 5.810 Å; angles 60.00, 60.00, 60.00 degrees
Site moments in Bohr magnetons follow the coordinates.
Sites, in units of the cell vectors:
Cl 0.877 0.374 0.374  0.28
Re 0.000 0.000 0.000  -4.04
Cl 0.374 0.374 0.877  0.28
Cr 0.750 0.750 0.750  4.14
Cl 0.374 0.877 0.374  0.28
Cl 0.374 0.374 0.374  0.28

=====

## CrReCl (PBE)

Data for a relaxed structure of CrReCl.

Summary:
E_form (uncorrected) = -0.072 eV per atom
SG = Cm
E above lowest polymorph = 0.6 kJ per mole of atoms

Cell lengths 2.992, 3.027, 23.329 Å; angles 90.00, 97.67, 90.00 degrees
Site moments in Bohr magnetons follow the coordinates.
Sites, in units of the cell vectors:
Cl 0.265 0.500 0.451  -0.02
Cl 0.265 0.000 0.951  -0.02
Re 0.610 0.000 0.802  0.12
Cr 0.039 0.000 0.233  -1.61
Cr 0.477 0.000 0.675  1.92
Re 0.180 0.000 0.369  -0.11
Re 0.180 0.500 0.869  -0.11
Cl 0.897 0.500 0.098  0.00
Cr 0.039 0.500 0.733  -1.61
Re 0.610 0.500 0.302  0.12
Cl 0.897 0.000 0.598  0.00
Cr 0.477 0.500 0.175  1.92

=====

Computed size of the total moment (μB/f.u.) in order:
2.2 0.7 1.0 0.2